# 1
Material: TaMoPt
Method: DFT, GGA-PBE
State: relaxed

abc: 4.5414 4.5414 5.5695
angles: 90.00 90.00 120.00
Last column: nearest neighbours and their distance in Å.
Space group P3m1 (No. 156)
Asymmetric unit:
Ta 0.0000 0.0000 0.0000  5 Mo 2.73-2.98, 6 Pt 2.91-2.96
Ta 0.3333 0.6667 0.7108  5 Pt 2.63-2.87, 3 Mo 2.90
Mo 0.0000 0.0000 0.4901  5 Ta 2.73-2.90, 3 Mo 2.93, 6 Pt 3.00-3.01
Mo 0.6667 0.3333 0.2544  5 Pt 2.63-2.79, 3 Mo 2.93
Pt 0.3333 0.6667 0.2266  3 Mo 2.63, 5 Ta 2.70-2.91
Pt 0.6667 0.3333 0.7544  3 Ta 2.63, 2 Mo 2.78-2.79

The formation energy from the elements comes out at -249 meV/atom.

=====

# 2
Material: TaMo2Pt
Method: DFT, GGA-PBE
State: relaxed

abc: 3.4747 4.2579 8.8244
angles: 90.00 90.00 90.00
Last column: nearest neighbours and their distance in Å.
Space group Cmmm (No. 65)
Asymmetric unit:
Ta 0.0000 0.0000 0.0000  4 Ta 2.75, 4 Mo 2.87
Mo 0.0000 0.5000 0.2594  4 Pt 2.74-3.01, 4 Mo 2.75, 2 Ta 2.87
Pt 0.0000 0.0000 0.5000  8 Mo 2.74-3.01, 4 Pt 2.75

The formation energy from the elements comes out at -132 meV/atom.

=====

# 3
Material: TaMoPt2
Method: DFT, GGA-PBE
State: relaxed

abc: 2.8176 2.8176 28.1183
angles: 90.00 90.00 120.00
Last column: nearest neighbours and their distance in Å.
Space group R-3m (No. 166, hexagonal axes)
Asymmetric unit:
Ta 0.0000 0.0000 0.0000  6 Ta 2.82, 6 Pt 2.87
Mo 0.0000 0.0000 0.5000  6 Mo 2.82, 6 Pt 2.83
Pt 0.0000 0.0000 0.2492  6 Pt 2.82, 3 Mo 2.83, 3 Ta 2.87

The formation energy from the elements comes out at -245 meV/atom.

=====

Number 1: distance to the lowest polymorph of the same formula 97 meV/atom. Number 2: distance to the lowest polymorph of the same formula 70 meV/atom. Number 3: distance to the lowest polymorph of the same formula 275 meV/atom.